## Ac3Tc2Ge9 (PBE)

Data for Ac3Tc2Ge9 after structural relaxation.

Cell lengths 4.3919, 11.1877, 12.4957 Å; angles 90.00, 90.00, 90.00 degrees
Last column: nearest neighbours and their distance in Å.
Space group Immm (No. 71)
Asymmetric unit:
Ac  0.0000  0.0000  0.0000 (multiplicity 2)  12 Ge 3.37-3.48, 4 Tc 3.77
Ac  0.0000  0.0000  0.3191 (multiplicity 4)  10 Ge 3.15-3.37, 2 Tc 3.39
Tc  0.0000  0.2263  0.5000 (multiplicity 4)  6 Ge 2.54-2.64
Ge  0.0000  0.2825  0.1168 (multiplicity 8)  2 Tc 2.64, 5 Ge 2.79-2.92
Ge  0.0000  0.3625  0.3369 (multiplicity 8)  1 Tc 2.54, 2 Ge 2.79
Ge  0.0000  0.5000  0.0000 (multiplicity 2)  4 Ge 2.84, 4 Ac 3.15

- electronic total energy (eV/f.u.) = -78.96
- offset from the most stable computed form (meV per atom) = 20
- Fermi-level density of states (states/eV per atom) = 0.538
- energy relative to the elements (eV/atom) = -0.31